Record 1
# PBE Pr3Dy5Tl2, relaxed
data_Pr3Dy5Tl2
_chemical_formula_sum 'Pr12 Dy20 Tl8'
_space_group_name_H-M_alt 'I b a m'
_space_group_IT_number 72
_space_group_name_Hall '-I 2 2c'
_cell_length_a 13.064
_cell_length_b 15.508
_cell_length_c 6.529
_cell_angle_alpha 90.00
_cell_angle_beta 90.00
_cell_angle_gamma 90.00
loop_
_atom_site_label
_atom_site_type_symbol
_atom_site_fract_x
_atom_site_fract_y
_atom_site_fract_z
Pr1 Pr 0.000 0.000 0.250
Pr2 Pr 0.120 0.240 0.000
Dy1 Dy 0.000 0.500 0.250
Dy2 Dy 0.118 0.336 0.500
Dy3 Dy 0.245 0.500 0.250
Tl1 Tl 0.138 0.146 0.500
# E_form, eV per formula unit: 0.70
# Theoretical density, Mg/m³: 8.256

Record 2
# PBE Pr3Dy4Tl4, relaxed
data_Pr3Dy4Tl4
_chemical_formula_sum 'Pr6 Dy8 Tl8'
_space_group_name_H-M_alt 'I m m m'
_space_group_IT_number 71
_space_group_name_Hall '-I 2 2'
_cell_length_a 3.758
_cell_length_b 5.281
_cell_length_c 34.432
_cell_angle_alpha 90.00
_cell_angle_beta 90.00
_cell_angle_gamma 90.00
loop_
_atom_site_label
_atom_site_type_symbol
_atom_site_fract_x
_atom_site_fract_y
_atom_site_fract_z
Pr1 Pr 0.000 0.000 0.000
Pr2 Pr 0.000 0.500 0.143
Dy1 Dy 0.000 0.000 0.265
Dy2 Dy 0.000 0.500 0.407
Tl1 Tl 0.000 0.000 0.453
Tl2 Tl 0.000 0.500 0.316
# E_form, eV per formula unit: -1.86
# Theoretical density, Mg/m³: 9.188

> Look up the theoretical density of the first one.

8.256 Mg/m³

> Look up the E_form of the first one.

0.70 eV per formula unit

> What is the E_form in the second record?

-1.86 eV per formula unit

> Which value of theoretical density does entry 2 give?

9.188 Mg/m³